No. 1
Below is an optimized crystal structure of NbSbAu2, with properties calculated at the GGA-PBE level.

Lattice parameters (Å, degrees): 4.770 4.770 4.770 60.00 60.00 60.00
Last column: magnetic moment on the atom in μB.
Sites, in units of the cell vectors:
1 Au 0.000 0.000 0.000  0.01
2 Au 0.750 0.750 0.750  0.01
3 Sb 0.500 0.500 0.500  0.00
4 Nb 0.250 0.250 0.250  0.15

Results
Crystal system: cubic
Energy: -20.188 eV/cell
Symmetry: F-43m (216)

=====

No. 2
Below is an optimized crystal structure of ErZr2Ir4, with properties calculated at the GGA-PBE level.

Lattice parameters (Å, degrees): 6.313 6.313 3.847 90.00 90.00 114.79
Sites, in units of the cell vectors:
1 Ir 0.631 0.369 0.000
2 Ir 0.692 0.692 0.500
3 Ir 0.369 0.631 0.000
4 Ir 0.308 0.308 0.500
5 Er 0.000 0.000 0.000
6 Zr 0.500 0.000 0.500
7 Zr 0.000 0.500 0.500

Results
Crystal system: orthorhombic
Calculated formation energy: -0.484 eV per atom
Symmetry: Cmmm (65)

=====

No. 3
Below is an optimized crystal structure of LiCoGeMo, with properties calculated at the GGA-PBE level.

Lattice parameters (Å, degrees): 4.196 4.196 4.196 60.00 60.00 60.00
Sites, in units of the cell vectors:
1 Li 0.500 0.500 0.500
2 Co 0.750 0.750 0.750
3 Ge 0.000 0.000 0.000
4 Mo 0.250 0.250 0.250

Results
Crystal system: cubic
Energy: -23.909 eV/cell
Symmetry: F-43m (216)

=====

No. 4
Below is an optimized crystal structure of CsCoCuTe2S, with properties calculated at the GGA-PBE level.

Lattice parameters (Å, degrees): 8.520 8.520 10.110 90.00 90.00 154.02
Last column: magnetic moment on the atom in μB.
Sites, in units of the cell vectors:
1 S 0.948 0.052 0.750  0.01
2 S 0.052 0.948 0.250  0.01
3 Co 0.000 0.000 0.500  0.73
4 Co 0.000 0.000 0.000  0.74
5 Cu 0.477 0.523 0.250  0.07
6 Cu 0.523 0.477 0.750  0.07
7 Te 0.602 0.398 0.966  0.03
8 Te 0.602 0.398 0.534  0.03
9 Te 0.398 0.602 0.034  0.03
10 Te 0.398 0.602 0.466  0.03
11 Cs 0.256 0.744 0.750  0.00
12 Cs 0.744 0.256 0.250  0.00

Results
Crystal system: orthorhombic
Energy: -47.236 eV/cell
Symmetry: Cmcm (63)

=====

No. 5
Below is an optimized crystal structure of LiTa2In, with properties calculated at the GGA-PBE level.

Lattice parameters (Å, degrees): 4.710 4.710 4.710 60.00 60.00 60.00
Last column: magnetic moment on the atom in μB.
Sites, in units of the cell vectors:
1 Ta 0.750 0.750 0.750  0.23
2 Ta 0.000 0.000 0.000  0.45
3 Li 0.250 0.250 0.250  0.01
4 In 0.500 0.500 0.500  0.00

Results
Crystal system: cubic
Energy: -26.630 eV/cell
Symmetry: F-43m (216)

=====

No. 6
Below is an optimized crystal structure of Cd2NiGe, with properties calculated at the GGA-PBE level.

Lattice parameters (Å, degrees): 4.668 4.668 4.668 60.00 60.00 60.00
Sites, in units of the cell vectors:
1 Cd 0.750 0.750 0.750
2 Cd 0.000 0.000 0.000
3 Ni 0.250 0.250 0.250
4 Ge 0.500 0.500 0.500

Results
Crystal system: cubic
Energy: -11.047 eV/cell
Symmetry: F-43m (216)

=====

No. 7
Below is an optimized crystal structure of Li2Cd2GaGePt2, with properties calculated at the GGA-PBE level.

Lattice parameters (Å, degrees): 4.523 4.523 6.397 90.00 90.00 90.00
Sites, in units of the cell vectors:
1 Pt 0.500 0.000 0.250
2 Pt 0.000 0.500 0.750
3 Cd 0.000 0.000 0.000
4 Cd 0.500 0.500 0.500
5 Ga 0.000 0.000 0.500
6 Li 0.500 0.000 0.750
7 Li 0.000 0.500 0.250
8 Ge 0.500 0.500 0.000

Results
Crystal system: tetragonal
Energy: -28.956 eV/cell
Symmetry: P-4m2 (115)

=====

No. 8
Below is an optimized crystal structure of HoMgZn2Pd4, with properties calculated at the GGA-PBE level.

Lattice parameters (Å, degrees): 4.539 4.539 6.410 90.00 90.00 90.00
Sites, in units of the cell vectors:
1 Pd 0.000 0.500 0.735
2 Pd 0.500 0.000 0.265
3 Pd 0.500 0.000 0.735
4 Pd 0.000 0.500 0.265
5 Ho 0.000 0.000 0.000
6 Mg 0.500 0.500 0.500
7 Zn 0.000 0.000 0.500
8 Zn 0.500 0.500 0.000

Results
Crystal system: tetragonal
Energy: -35.026 eV/cell
Symmetry: P4/mmm (123)

=====

No. 9
Below is an optimized crystal structure of TbDy2Cd3PdAu2, with properties calculated at the GGA-PBE level.

Lattice parameters (Å, degrees): 3.819 7.824 7.824 120.07 90.00 90.00
Sites, in units of the cell vectors:
1 Pd 0.000 0.000 0.000
2 Cd 0.500 0.741 0.000
3 Cd 0.500 0.259 0.259
4 Cd 0.500 0.000 0.741
5 Tb 0.000 0.601 0.601
6 Dy 0.000 0.000 0.398
7 Dy 0.000 0.398 0.000
8 Au 0.500 0.667 0.333
9 Au 0.500 0.333 0.667

Results
Crystal system: orthorhombic
Calculated formation energy: -0.682 eV per atom
Symmetry: Amm2 (38)

=====

No. 10
Below is an optimized crystal structure of MgHgTeO, with properties calculated at the GGA-PBE level.

Lattice parameters (Å, degrees): 7.112 7.112 6.276 90.00 90.00 33.42
Sites, in units of the cell vectors:
1 O 0.935 0.935 0.045
2 O 0.065 0.065 0.545
3 Hg 0.336 0.336 0.979
4 Hg 0.664 0.664 0.479
5 Mg 0.042 0.042 0.847
6 Mg 0.958 0.958 0.347
7 Te 0.332 0.332 0.522
8 Te 0.668 0.668 0.022

Results
Crystal system: orthorhombic
Energy: -27.024 eV/cell
Symmetry: Cmc2_1 (36)

=====

No. 11
Below is an optimized crystal structure of HfCoBPt, with properties calculated at the GGA-PBE level.

Lattice parameters (Å, degrees): 4.306 4.306 4.306 60.00 60.00 60.00
Last column: magnetic moment on the atom in μB.
Sites, in units of the cell vectors:
1 Pt 0.500 0.500 0.500  0.04
2 B 0.000 0.000 0.000  -0.02
3 Co 0.750 0.750 0.750  1.47
4 Hf 0.250 0.250 0.250  0.02

Results
Crystal system: cubic
Energy: -29.439 eV/cell
Symmetry: F-43m (216)

=====

No. 12
Below is an optimized crystal structure of Hf2ScCo2, with properties calculated at the GGA-PBE level.

Lattice parameters (Å, degrees): 6.799 6.799 6.799 147.04 147.04 47.31
Sites, in units of the cell vectors:
1 Hf 0.375 0.375 0.000
2 Hf 0.625 0.625 0.000
3 Sc 0.000 0.000 0.000
4 Co 0.250 0.750 0.500
5 Co 0.750 0.250 0.500

Results
Crystal system: tetragonal
Calculated formation energy: 0.152 eV per atom
Symmetry: I4/mmm (139)

=====

No. 13
Below is an optimized crystal structure of KPrPbSe3, with properties calculated at the GGA-PBE level.

Lattice parameters (Å, degrees): 9.684 9.684 9.874 103.85 103.85 26.35
Sites, in units of the cell vectors:
1 Se 0.670 0.670 0.790
2 Se 0.668 0.668 0.374
3 Se 0.330 0.330 0.210
4 Se 0.332 0.332 0.626
5 Se 0.500 0.500 0.000
6 Se 0.000 0.000 0.500
7 Pr 0.173 0.173 0.587
8 Pr 0.827 0.827 0.413
9 K 0.857 0.857 0.929
10 K 0.143 0.143 0.071
11 Pb 0.508 0.508 0.719
12 Pb 0.492 0.492 0.281

Results
Crystal system: monoclinic
Energy: -55.416 eV/cell
Symmetry: C2/m (12)

=====

No. 14
Below is an optimized crystal structure of DyY3C2Se2, with properties calculated at the GGA-PBE level.

Lattice parameters (Å, degrees): 3.763 3.763 13.302 90.00 90.00 120.00
Sites, in units of the cell vectors:
1 Y 0.000 0.000 0.600
2 Y 0.667 0.333 0.400
3 Y 0.667 0.333 0.100
4 Se 0.000 0.000 0.250
5 Se 0.667 0.333 0.750
6 Dy 0.000 0.000 0.900
7 C 0.333 0.667 0.000
8 C 0.333 0.667 0.500

Results
Crystal system: trigonal
Energy: -58.667 eV/cell
Symmetry: P3m1 (156)

=====

No. 15
Below is an optimized crystal structure of HoErNi4, with properties calculated at the GGA-PBE level.

Lattice parameters (Å, degrees): 5.330 5.330 8.004 90.00 90.00 120.00
Sites, in units of the cell vectors:
1 Ni 0.500 0.000 0.271
2 Ni 0.500 0.500 0.729
3 Ni 0.500 0.000 0.729
4 Ni 0.000 0.500 0.271
5 Ni 0.333 0.667 0.500
6 Ni 0.667 0.333 0.500
7 Ni 0.500 0.500 0.271
8 Ni 0.000 0.500 0.729
9 Er 0.333 0.667 0.000
10 Er 0.667 0.333 0.000
11 Ho 0.000 0.000 0.500
12 Ho 0.000 0.000 0.000

Results
Crystal system: hexagonal
Calculated formation energy: -0.050 eV per atom
Symmetry: P6/mmm (191)

=====

No. 16
Below is an optimized crystal structure of Li3Pd2O6, with properties calculated at the GGA-PBE level.

Lattice parameters (Å, degrees): 5.100 5.175 10.075 98.74 101.22 120.29
Sites, in units of the cell vectors:
1 O 0.113 0.465 0.877
2 O 0.925 0.626 0.123
3 O 0.070 0.412 0.380
4 O 0.556 0.912 0.142
5 O 0.575 0.923 0.620
6 O 0.400 0.094 0.387
7 O 0.231 0.222 0.618
8 O 0.422 0.084 0.884
9 O 0.756 0.711 0.870
10 O 0.239 0.227 0.121
11 O 0.933 0.567 0.620
12 O 0.753 0.765 0.372
13 Pd 0.987 0.006 0.237
14 Pd 0.162 0.832 0.504
15 Pd 0.831 0.166 0.503
16 Pd 0.168 0.838 0.983
17 Li 0.680 0.309 0.768
18 Li 0.515 0.514 0.521
19 Li 0.300 0.628 0.232
20 Li 0.394 0.714 0.769
21 Li 0.483 0.487 0.986
22 Li 0.667 0.334 0.230

Results
Crystal system: triclinic
Energy: -111.434 eV/cell
Symmetry: P1 (1)

=====

No. 17
Below is an optimized crystal structure of BaIrO3, with properties calculated at the GGA-PBE level.

Lattice parameters (Å, degrees): 5.760 5.793 15.056 100.57 101.03 60.19
Last column: magnetic moment on the atom in μB.
Sites, in units of the cell vectors:
1 O 0.873 0.853 0.083  0.03
2 O 0.709 0.355 0.773  0.05
3 O 0.806 0.151 0.263  0.06
4 O 0.113 0.678 0.903  0.04
5 O 0.165 0.606 0.406  0.04
6 O 0.366 0.394 0.594  0.04
7 O 0.835 0.394 0.594  0.04
8 O 0.887 0.322 0.097  0.04
9 O 0.291 0.645 0.227  0.05
10 O 0.645 0.135 0.425  0.02
11 O 0.194 0.849 0.737  0.06
12 O 0.355 0.865 0.575  0.02
13 O 0.643 0.147 0.917  0.03
14 O 0.127 0.147 0.917  0.03
15 O 0.693 0.849 0.737  0.06
16 O 0.307 0.151 0.263  0.06
17 O 0.634 0.606 0.406  0.04
18 O 0.357 0.853 0.083  0.03
19 Ir 0.082 0.012 0.175  0.24
20 Ir 0.467 0.392 0.325  0.26
21 Ir 0.918 0.988 0.825  0.24
22 Ir 0.500 0.500 0.500  0.09
23 Ir 0.000 0.000 0.000  0.08
24 Ir 0.533 0.608 0.675  0.26
25 Ba 0.368 0.337 0.073  0.00
26 Ba 0.223 0.305 0.751  0.00
27 Ba 0.777 0.695 0.249  0.00
28 Ba 0.632 0.663 0.927  0.00
29 Ba 0.149 0.125 0.423  0.00
30 Ba 0.851 0.875 0.577  0.00

Results
Crystal system: monoclinic
Energy: -201.086 eV/cell
Symmetry: C2/m (12)

=====

No. 18
Below is an optimized crystal structure of LaSm3Se3O4, with properties calculated at the GGA-PBE level.

Lattice parameters (Å, degrees): 8.418 6.711 6.711 34.57 90.00 90.00
Sites, in units of the cell vectors:
1 O 0.000 0.619 0.619
2 O 0.500 0.588 0.588
3 O 0.740 0.088 0.088
4 O 0.260 0.088 0.088
5 Sm 0.500 0.002 0.002
6 Sm 0.265 0.683 0.683
7 Sm 0.735 0.683 0.683
8 La 0.000 0.015 0.015
9 Se 0.151 0.351 0.351
10 Se 0.849 0.351 0.351
11 Se 0.500 0.314 0.314

Results
Crystal system: orthorhombic
Energy: -80.188 eV/cell
Symmetry: Amm2 (38)

=====

No. 19
Below is an optimized crystal structure of ErSi2Pd, with properties calculated at the GGA-PBE level.

Lattice parameters (Å, degrees): 4.026 6.156 5.560 90.00 90.00 90.00
Sites, in units of the cell vectors:
1 Pd 0.500 0.098 0.639
2 Pd 0.000 0.902 0.139
3 Er 0.500 0.590 0.865
4 Er 0.000 0.410 0.365
5 Si 0.000 0.848 0.633
6 Si 0.500 0.152 0.133
7 Si 0.500 0.754 0.363
8 Si 0.000 0.246 0.863

Results
Crystal system: orthorhombic
Energy: -46.558 eV/cell
Symmetry: Pmn2_1 (31)

=====

No. 20
Below is an optimized crystal structure of RbAg2Te2, with properties calculated at the GGA-PBE level.

Lattice parameters (Å, degrees): 7.540 7.540 7.540 143.58 143.58 52.45
Sites, in units of the cell vectors:
1 Ag 0.750 0.250 0.500
2 Ag 0.250 0.750 0.500
3 Rb 0.000 0.000 0.000
4 Te 0.370 0.370 0.000
5 Te 0.630 0.630 0.000

Results
Crystal system: tetragonal
Energy: -14.954 eV/cell
Symmetry: I4/mmm (139)

=====

No. 21
Below is an optimized crystal structure of HfTePb2O6, with properties calculated at the GGA-PBE level.

Lattice parameters (Å, degrees): 5.927 5.927 5.927 120.08 120.08 89.86
Sites, in units of the cell vectors:
1 Pb 0.750 0.250 0.500
2 Pb 0.250 0.750 0.500
3 O 0.745 0.745 0.000
4 O 0.745 0.255 0.000
5 O 0.255 0.255 0.000
6 O 0.745 0.745 0.490
7 O 0.255 0.745 0.000
8 O 0.255 0.255 0.510
9 Hf 0.500 0.500 0.000
10 Te 0.000 0.000 0.000

Results
Crystal system: tetragonal
Energy: -66.879 eV/cell
Symmetry: I4/mmm (139)

=====

No. 22
Below is an optimized crystal structure of LaNdGe3, with properties calculated at the GGA-PBE level.

Lattice parameters (Å, degrees): 7.602 7.602 7.602 146.55 146.55 48.03
Sites, in units of the cell vectors:
1 La 0.952 0.952 0.000
2 Ge 0.430 0.430 0.000
3 Ge 0.792 0.292 0.500
4 Ge 0.292 0.792 0.500
5 Nd 0.645 0.645 0.000

Results
Crystal system: tetragonal
Energy: -25.896 eV/cell
Symmetry: I4mm (107)

=====

No. 23
Below is an optimized crystal structure of Cd2CoOs, with properties calculated at the GGA-PBE level.

Lattice parameters (Å, degrees): 4.494 4.494 4.494 60.00 60.00 60.00
Sites, in units of the cell vectors:
1 Co 0.250 0.250 0.250
2 Cd 0.750 0.750 0.750
3 Cd 0.000 0.000 0.000
4 Os 0.500 0.500 0.500

Results
Crystal system: cubic
Calculated formation energy: 0.618 eV per atom
Symmetry: F-43m (216)